Material: Sr2MnCrRe
Method: DFT, SCAN
State: PBEsol geometry

As for the total energy: -144.689 eV per cell. The value obtained for the formation energy is 1520 meV/atom. The crystal system is tetragonal. The calculation puts the total magnetization at 3.61 μB per formula unit.

The structure belongs to space group P4/mmm (No. 123); the cell edges are 5.7038, 5.7038 and 4.1046 Å and the angles 90.00°, 90.00° and 90.00°. The inequivalent atoms are Sr at (0.0000, 0.5000, 0.0000), Mn at (0.0000, 0.0000, 0.0000), Cr at (0.0000, 0.0000, 0.5000) and Re at (0.5000, 0.5000, 0.5000).